An optimized crystal structure of Tb2Al4Cu3Pt. Source: Alexandria via LeMat-Bulk, functional GGA-PBE.

**DOS at the Fermi energy**: 5.01 states/eV/f.u.
**E_tot**: -4.84 eV/atom
**DFT formation energy**: -0.59 eV/atom

Lattice parameters (Å, degrees): 4.1498 4.1498 10.2934 90.00 90.00 90.00
With the nearest neighbours (Å) after each atom.
Fractional coordinates of all 10 atoms:
Cu 0.0000 0.5000 0.1338  5 Al 2.40-2.49
Cu 0.5000 0.0000 0.8662  5 Al 2.40-2.49
Cu 0.0000 0.0000 0.5000  4 Al 2.48
Al 0.0000 0.0000 0.0000  4 Cu 2.49
Al 0.5000 0.0000 0.6328  3 Cu 2.40-2.48, 2 Pt 2.48
Al 0.0000 0.5000 0.3672  3 Cu 2.40-2.48, 2 Pt 2.48
Al 0.5000 0.5000 0.0000  4 Cu 2.49
Tb 0.5000 0.0000 0.2492  6 Cu 3.17-3.31, 8 Al 3.18-3.30, 2 Pt 3.31
Tb 0.0000 0.5000 0.7508  6 Cu 3.17-3.31, 8 Al 3.18-3.30, 2 Pt 3.31
Pt 0.5000 0.5000 0.5000  4 Al 2.48